[1]
Material: Ba2AlCo3O8
Method: DFT, PBE with a Hubbard U
State: relaxed

Magnetic moment in μB/cell: 10.56
Volume in Å³/f.u.: 181.4

Cell lengths 3.7430, 3.7430, 12.9455 Å; angles 90.00, 90.00, 90.00 degrees
Closest atoms and distances in Å follow each position.
Fractional coordinates of all 14 atoms:
1 Ba 0.5000 0.5000 0.1679  8 O 2.73-2.87
2 Ba 0.5000 0.5000 0.8321  8 O 2.73-2.87
3 Al 0.5000 0.5000 0.5000  8 O 2.23
4 Co 0.0000 0.0000 0.3589  5 O 1.80-1.97
5 Co 0.0000 0.0000 0.0000  4 O 1.87
6 Co 0.0000 0.0000 0.6411  5 O 1.80-1.97
7 O 0.0000 0.5000 0.4069  2 Co 1.97
8 O 0.5000 0.0000 0.4069  2 Co 1.97
9 O 0.5000 0.0000 0.0000  2 Co 1.87
10 O 0.0000 0.0000 0.2196  1 Co 1.80
11 O 0.0000 0.5000 0.5931  2 Co 1.97
12 O 0.5000 0.0000 0.5931  2 Co 1.97
13 O 0.0000 0.0000 0.7804  1 Co 1.80
14 O 0.0000 0.5000 0.0000  2 Co 1.87

[2]
Material: Ba2AlTlCo2O7
Method: DFT, PBE with a Hubbard U
State: relaxed

Magnetic moment in μB/cell: 6.00
Volume in Å³/f.u.: 203.0

Cell lengths 4.7005, 3.8358, 11.3998 Å; angles 81.04, 90.00, 90.00 degrees
Closest atoms and distances in Å follow each position.
Fractional coordinates of all 13 atoms:
1 Ba 0.5083 0.8739 0.2205  6 O 2.63-2.88
2 Ba 0.5083 0.1261 0.7795  6 O 2.63-2.88
3 Al 0.3848 0.0000 0.5000  4 O 1.76-1.83
4 Tl 0.0566 0.5000 0.0000  4 O 2.15-2.29
5 Co 0.9776 0.3448 0.3760  4 O 1.94-2.16
6 Co 0.9776 0.6552 0.6240  4 O 1.94-2.16
7 O 0.9419 0.4111 0.1850  1 Tl 2.15, 1 Co 2.16
8 O 0.5678 0.2827 0.3886  1 Al 1.76, 1 Co 1.94
9 O 0.1200 0.8224 0.4077  1 Al 1.83, 1 Co 2.04
10 O 0.1200 0.1776 0.5923  1 Al 1.83, 1 Co 2.04
11 O 0.3247 0.0000 0.0000  2 Tl 2.29
12 O 0.5678 0.7173 0.6114  1 Al 1.76, 1 Co 1.94
13 O 0.9419 0.5889 0.8150  1 Tl 2.15, 1 Co 2.16

no.,calculated total energy (eV per atom),Fermi-level density of states (states/eV/cell)
1,-6.059,4.48
2,-5.964,0.32